Entry 1:
The following is a DFT calculation (PBE) of a geometry-optimized Pr4Nd5Tl4 structure.

Unit cell a=5.2882 b=9.3405 c=9.3405 alpha=85.40 beta=73.56 gamma=73.56
Last column: nearest neighbours and their distance in Å.
Atoms (fractional coordinates):
Pr1 0.9067 0.4777 0.7089  3 Tl 3.24-3.46, 2 Nd 3.62
Pr2 0.6156 0.2911 0.4777  3 Tl 3.24-3.46, 2 Nd 3.62
Pr3 0.0933 0.5223 0.2911  3 Tl 3.24-3.46, 2 Nd 3.62
Pr4 0.3844 0.7089 0.5223  3 Tl 3.24-3.46, 2 Nd 3.62
Nd1 0.6893 0.9097 0.7117  3 Tl 3.28-3.33, 2 Pr 3.62
Nd2 0.3107 0.0903 0.2883  3 Tl 3.28-3.33, 2 Pr 3.62
Nd3 0.0000 0.0000 0.0000  4 Tl 3.23
Nd4 0.5990 0.7117 0.0903  3 Tl 3.28-3.33, 2 Pr 3.62
Nd5 0.4010 0.2883 0.9097  3 Tl 3.28-3.33, 2 Pr 3.62
Tl1 0.7698 0.3407 0.1197  4 Nd 3.23-3.33, 3 Pr 3.24-3.46
Tl2 0.2302 0.6593 0.8803  4 Nd 3.23-3.33, 3 Pr 3.24-3.46
Tl3 0.8895 0.8803 0.3407  4 Nd 3.23-3.33, 3 Pr 3.24-3.46
Tl4 0.1105 0.1197 0.6593  4 Nd 3.23-3.33, 3 Pr 3.24-3.46

* DFT total energy: -0.1573 hartree per atom

---

Entry 2:
The following is a DFT calculation (PBE) of a geometry-optimized PrNdTl3 structure.

Unit cell a=8.2717 b=8.2717 c=10.8913 alpha=90.00 beta=90.00 gamma=104.80
Last column: nearest neighbours and their distance in Å.
Atoms (fractional coordinates):
Pr1 0.9942 0.9942 0.2499  6 Tl 3.30-3.45
Pr2 0.0058 0.0058 0.7501  6 Tl 3.30-3.45
Pr3 0.3893 0.3893 0.2500  8 Tl 3.31-3.52
Pr4 0.6107 0.6107 0.7500  8 Tl 3.31-3.52
Nd1 0.5000 0.0000 0.0000  6 Tl 3.08-3.34
Nd2 0.5000 0.0000 0.5000  6 Tl 3.08-3.34
Nd3 0.0000 0.5000 0.0000  6 Tl 3.08-3.34
Nd4 0.0000 0.5000 0.5000  6 Tl 3.08-3.34
Tl1 0.8245 0.5671 0.2499  2 Nd 3.20, 5 Tl 3.37-3.45, 2 Pr 3.45-3.52
Tl2 0.1755 0.4329 0.7501  2 Nd 3.20, 5 Tl 3.37-3.45, 2 Pr 3.45-3.52
Tl3 0.4329 0.1755 0.7501  2 Nd 3.20, 5 Tl 3.37-3.45, 2 Pr 3.45-3.52
Tl4 0.5671 0.8245 0.2499  2 Nd 3.20, 5 Tl 3.37-3.45, 2 Pr 3.45-3.52
Tl5 0.1856 0.1856 0.4962  3 Pr 3.30-3.38, 2 Nd 3.34, 4 Tl 3.45-3.52
Tl6 0.8144 0.8144 0.9961  3 Pr 3.30-3.38, 2 Nd 3.34, 4 Tl 3.45-3.52
Tl7 0.8144 0.8144 0.5038  3 Pr 3.30-3.38, 2 Nd 3.34, 4 Tl 3.45-3.52
Tl8 0.1856 0.1856 0.0039  3 Pr 3.30-3.38, 2 Nd 3.34, 4 Tl 3.45-3.52
Tl9 0.3846 0.6154 0.0000  3 Tl 3.03-3.37, 2 Nd 3.08, 2 Pr 3.31
Tl10 0.6153 0.3847 0.5000  3 Tl 3.02-3.37, 2 Nd 3.08, 2 Pr 3.31
Tl11 0.6154 0.3846 0.0000  3 Tl 3.03-3.37, 2 Nd 3.08, 2 Pr 3.31
Tl12 0.3847 0.6153 0.5000  3 Tl 3.02-3.37, 2 Nd 3.08, 2 Pr 3.31

* DFT total energy: -0.1220 hartree per atom

---

Entry 3:
The following is a DFT calculation (PBE) of a geometry-optimized Pr3NdTl4 structure.

Unit cell a=3.9278 b=3.9278 c=15.7044 alpha=90.00 beta=90.00 gamma=90.00
Last column: nearest neighbours and their distance in Å.
Atoms (fractional coordinates):
Pr1 0.5000 0.5000 0.2487  8 Tl 3.41
Pr2 0.5000 0.5000 0.5000  8 Tl 3.41
Pr3 0.5000 0.5000 0.7513  8 Tl 3.41
Tl1 0.0000 0.0000 0.8772  4 Nd 3.38, 4 Pr 3.41
Tl2 0.0000 0.0000 0.1228  4 Nd 3.38, 4 Pr 3.41
Tl3 0.0000 0.0000 0.3744  8 Pr 3.41
Tl4 0.0000 0.0000 0.6256  8 Pr 3.41
Nd1 0.5000 0.5000 0.0000  8 Tl 3.38

* DFT total energy: -0.1458 hartree per atom
* E above lowest polymorph: 0.0 meV/atom

---

Entry 4:
The following is a DFT calculation (PBE) of a geometry-optimized PrNd12Tl7 structure.

Unit cell a=9.0782 b=9.0782 c=9.0782 alpha=101.64 beta=101.64 gamma=101.64
Last column: nearest neighbours and their distance in Å.
Atoms (fractional coordinates):
Pr1 0.0000 0.0000 0.0000  6 Tl 3.16
Nd1 0.8199 0.2838 0.6864  3 Tl 3.16-3.44, 1 Nd 3.49
Nd2 0.7162 0.3136 0.1801  3 Tl 3.16-3.44, 1 Nd 3.49
Nd3 0.4447 0.1236 0.3783  3 Tl 3.11-3.45
Nd4 0.8764 0.6217 0.5553  3 Tl 3.11-3.45
Nd5 0.3136 0.1801 0.7162  3 Tl 3.16-3.44, 1 Nd 3.49
Nd6 0.6217 0.5553 0.8764  3 Tl 3.11-3.45
Nd7 0.3783 0.4447 0.1236  3 Tl 3.11-3.45
Nd8 0.6864 0.8199 0.2838  3 Tl 3.16-3.44, 1 Nd 3.49
Nd9 0.1236 0.3783 0.4447  3 Tl 3.11-3.45
Nd10 0.5553 0.8764 0.6217  3 Tl 3.11-3.45
Nd11 0.2838 0.6864 0.8199  3 Tl 3.16-3.44, 1 Nd 3.49
Nd12 0.1801 0.7162 0.3136  3 Tl 3.16-3.44, 1 Nd 3.49
Tl1 0.9824 0.6409 0.9466  1 Tl 2.96, 3 Nd 3.11-3.31, 1 Pr 3.16
Tl2 0.3591 0.0534 0.0176  1 Tl 2.96, 3 Nd 3.11-3.31, 1 Pr 3.16
Tl3 0.0534 0.0176 0.3591  1 Tl 2.96, 3 Nd 3.11-3.31, 1 Pr 3.16
Tl4 0.5000 0.5000 0.5000  6 Nd 3.27
Tl5 0.9466 0.9824 0.6409  1 Tl 2.96, 3 Nd 3.11-3.31, 1 Pr 3.16
Tl6 0.6409 0.9466 0.9824  1 Tl 2.96, 3 Nd 3.11-3.31, 1 Pr 3.16
Tl7 0.0176 0.3591 0.0534  1 Tl 2.96, 3 Nd 3.11-3.31, 1 Pr 3.16

* DFT total energy: -0.1458 hartree per atom

---

Entry 5:
The following is a DFT calculation (PBE) of a geometry-optimized Pr5Nd6Tl structure.

Unit cell a=5.1220 b=9.6943 c=9.6943 alpha=106.91 beta=105.29 gamma=105.29
Last column: nearest neighbours and their distance in Å.
Atoms (fractional coordinates):
Pr1 0.5000 0.1681 0.8319  8 Nd 3.59-3.73, 2 Tl 3.66, 2 Pr 3.67
Pr2 0.0000 0.3366 0.6634  4 Pr 3.61-3.67, 8 Nd 3.68-3.69
Pr3 0.5000 0.5000 0.5000  4 Pr 3.61, 8 Nd 3.68-3.69
Pr4 0.0000 0.6634 0.3366  4 Pr 3.61-3.67, 8 Nd 3.68-3.69
Pr5 0.5000 0.8319 0.1681  8 Nd 3.59-3.73, 2 Tl 3.66, 2 Pr 3.67
Tl1 0.0000 0.0000 0.0000  8 Nd 3.59-3.60, 4 Pr 3.66
Nd1 0.2440 0.0803 0.4074  1 Tl 3.59, 7 Pr 3.59-3.73, 4 Nd 3.61-3.72
Nd2 0.7560 0.5926 0.9197  1 Tl 3.59, 7 Pr 3.59-3.73, 4 Nd 3.61-3.72
Nd3 0.7441 0.2438 0.2438  2 Tl 3.59-3.60, 4 Nd 3.61, 6 Pr 3.64-3.69
Nd4 0.2559 0.7562 0.7562  2 Tl 3.59-3.60, 4 Nd 3.61, 6 Pr 3.64-3.69
Nd5 0.2440 0.4074 0.0803  1 Tl 3.59, 7 Pr 3.59-3.73, 4 Nd 3.61-3.72
Nd6 0.7560 0.9197 0.5926  1 Tl 3.59, 7 Pr 3.59-3.73, 4 Nd 3.61-3.72

* DFT total energy: -0.1694 hartree per atom

---

Entry 6:
The following is a DFT calculation (PBE) of a geometry-optimized PrNd7Tl5 structure.

Unit cell a=6.7869 b=8.5470 c=8.5470 alpha=79.41 beta=66.61 gamma=66.61
Last column: nearest neighbours and their distance in Å.
Atoms (fractional coordinates):
Pr1 0.9713 0.0287 0.0287  10 Nd 3.70-4.05, 4 Tl 3.93
Nd1 0.6344 0.3656 0.3656  4 Tl 3.42, 5 Nd 3.63-3.75, 1 Pr 3.80
Nd2 0.3081 0.6919 0.6919  6 Tl 3.36-3.47, 1 Nd 3.68
Nd3 0.9992 0.3380 0.6637  5 Tl 3.35-3.50, 2 Nd 3.56-3.58, 1 Pr 3.70
Nd4 0.9992 0.6637 0.3380  5 Tl 3.35-3.50, 2 Nd 3.56-3.58, 1 Pr 3.70
Nd5 0.2750 0.2250 0.2250  4 Tl 3.15, 2 Nd 3.42
Nd6 0.5160 0.7935 0.1744  5 Tl 3.30-3.41, 2 Nd 3.42-3.63
Nd7 0.5160 0.1744 0.7935  5 Tl 3.30-3.41, 2 Nd 3.42-3.63
Tl1 0.5131 0.9998 0.4816  7 Nd 3.15-3.50, 3 Tl 3.29-3.44
Tl2 0.0055 0.9998 0.4816  7 Nd 3.15-3.50, 3 Tl 3.29-3.44
Tl3 0.5131 0.4816 0.9998  7 Nd 3.15-3.50, 3 Tl 3.29-3.44
Tl4 0.0055 0.4816 0.9998  7 Nd 3.15-3.50, 3 Tl 3.29-3.44
Tl5 0.7436 0.7564 0.7564  4 Tl 3.29, 6 Nd 3.30-3.47

* DFT total energy: -0.1485 hartree per atom

---

Entry 7:
The following is a DFT calculation (PBE) of a geometry-optimized Pr6NdTl5 structure.

Unit cell a=11.0695 b=6.3516 c=6.4252 alpha=60.38 beta=84.39 gamma=78.60
Last column: nearest neighbours and their distance in Å.
Atoms (fractional coordinates):
Pr1 0.7377 0.0877 0.3605  5 Tl 3.33-3.51, 4 Pr 3.53-3.59, 1 Nd 3.66
Pr2 0.2623 0.5517 0.3605  5 Tl 3.33-3.51, 4 Pr 3.53-3.59, 1 Nd 3.66
Pr3 0.2469 0.2809 0.0000  5 Tl 3.37-3.45, 4 Pr 3.53-3.59, 1 Nd 3.55
Pr4 0.7531 0.7191 0.0000  5 Tl 3.37-3.45, 4 Pr 3.53-3.59, 1 Nd 3.55
Pr5 0.7377 0.4483 0.6395  5 Tl 3.33-3.51, 4 Pr 3.53-3.59, 1 Nd 3.66
Pr6 0.2623 0.9123 0.6395  5 Tl 3.33-3.51, 4 Pr 3.53-3.59, 1 Nd 3.66
Nd1 0.0000 0.0000 0.0000  6 Pr 3.55-3.66, 6 Tl 3.62-3.74
Tl1 0.5000 0.1517 0.6966  6 Pr 3.33-3.45, 3 Tl 3.39-3.60
Tl2 0.0000 0.3237 0.3527  6 Pr 3.43-3.51, 2 Tl 3.58, 3 Nd 3.62-3.74
Tl3 0.5000 0.5000 0.0000  6 Pr 3.37-3.41, 4 Tl 3.60
Tl4 0.0000 0.6763 0.6473  6 Pr 3.43-3.51, 2 Tl 3.58, 3 Nd 3.62-3.74
Tl5 0.5000 0.8483 0.3034  6 Pr 3.33-3.45, 3 Tl 3.39-3.60

* DFT total energy: -0.1451 hartree per atom
* E above lowest polymorph: 114.9 meV/atom

---

Entry 8:
The following is a DFT calculation (PBE) of a geometry-optimized Pr6Nd12Tl structure.

Unit cell a=8.7575 b=8.7575 c=8.7575 alpha=88.89 beta=88.89 gamma=88.89
Last column: nearest neighbours and their distance in Å.
Atoms (fractional coordinates):
Pr1 0.7399 0.9043 0.2966  7 Nd 3.44-3.77, 1 Tl 3.52, 2 Pr 3.56
Pr2 0.7034 0.2601 0.0957  7 Nd 3.44-3.77, 1 Tl 3.52, 2 Pr 3.56
Pr3 0.0957 0.7034 0.2601  7 Nd 3.44-3.77, 1 Tl 3.52, 2 Pr 3.56
Pr4 0.2601 0.0957 0.7034  7 Nd 3.44-3.77, 1 Tl 3.52, 2 Pr 3.56
Pr5 0.2966 0.7399 0.9043  7 Nd 3.44-3.77, 1 Tl 3.52, 2 Pr 3.56
Pr6 0.9043 0.2966 0.7399  7 Nd 3.44-3.77, 1 Tl 3.52, 2 Pr 3.56
Nd1 0.7821 0.5355 0.4325  4 Nd 3.39-3.75, 3 Pr 3.44-3.55
Nd2 0.4325 0.7821 0.5355  4 Nd 3.39-3.75, 3 Pr 3.44-3.55
Nd3 0.5355 0.4325 0.7821  4 Nd 3.39-3.75, 3 Pr 3.44-3.55
Nd4 0.2179 0.4645 0.5675  4 Nd 3.39-3.75, 3 Pr 3.44-3.55
Nd5 0.5675 0.2179 0.4645  4 Nd 3.39-3.75, 3 Pr 3.44-3.55
Nd6 0.4645 0.5675 0.2179  4 Nd 3.39-3.75, 3 Pr 3.44-3.55
Nd7 0.0164 0.1804 0.3608  4 Pr 3.52-3.77, 1 Tl 3.57, 4 Nd 3.61-3.75
Nd8 0.8196 0.6392 0.9836  4 Pr 3.52-3.77, 1 Tl 3.57, 4 Nd 3.61-3.75
Nd9 0.6392 0.9836 0.8196  4 Pr 3.52-3.77, 1 Tl 3.57, 4 Nd 3.61-3.75
Nd10 0.9836 0.8196 0.6392  4 Pr 3.52-3.77, 1 Tl 3.57, 4 Nd 3.61-3.75
Nd11 0.1804 0.3608 0.0164  4 Pr 3.52-3.77, 1 Tl 3.57, 4 Nd 3.61-3.75
Nd12 0.3608 0.0164 0.1804  4 Pr 3.52-3.77, 1 Tl 3.57, 4 Nd 3.61-3.75
Tl1 0.0000 0.0000 0.0000  6 Pr 3.52, 6 Nd 3.57

* DFT total energy: -0.1683 hartree per atom